Arrangement P

Here is a relaxed structure of CaHF2 from Alexandria. Energies are from GGA-PBEsol.

Computed properties:
**Crystal system**: cubic
**M_tot**: 1.0 Bohr magnetons per cell

abc: 3.897 3.897 3.902
angles: 60.04 60.04 60.00
Each line ends with the local moment (μB).
Atoms (fractional coordinates):
H 0.500 0.500 0.500  0.36
Ca 0.000 0.000 0.000  0.01
F 0.750 0.750 0.750  0.08
F 0.250 0.250 0.250  0.08

---

Arrangement Q

Here is a relaxed structure of CaHF2 from Alexandria. Energies are from GGA-PBEsol.

Computed properties:
**DOS(E_F)**: 0.75 states/eV/f.u.
**Crystal system**: trigonal
**M_tot**: 0.6 Bohr magnetons per cell

abc: 3.498 3.498 5.893
angles: 72.74 72.74 60.00
Each line ends with the local moment (μB).
Atoms (fractional coordinates):
H 0.000 0.000 0.000  0.00
Ca 0.500 0.500 0.500  0.22
F 0.930 0.930 0.209  0.01
F 0.070 0.070 0.791  0.01

---

Which one sits at the bottom of the stability order? arrangement Q does.

---

Arrangement P

Here is a relaxed structure of Na2Ca5TiSi4O16F2 from Alexandria. Energies are from GGA-PBEsol.

Computed properties:
**DOS(E_F)**: 6.73 states/eV/f.u.
**Crystal system**: monoclinic
**M_tot**: 3.8 Bohr magnetons per cell

abc: 5.648 7.324 18.976
angles: 101.16 90.00 90.00
Each line ends with the local moment (μB).
Atoms (fractional coordinates):
Na 0.660 0.507 0.750  0.00
Na 0.160 0.493 0.250  0.00
Na 0.666 0.995 0.744  0.00
Na 0.166 0.005 0.256  0.00
Ca 0.326 0.348 0.442  0.00
Ca 0.826 0.652 0.558  0.00
Ca 0.500 0.340 0.935  0.00
Ca 0.000 0.660 0.065  0.00
Ca 0.484 0.852 0.949  0.00
Ca 0.984 0.148 0.051  0.00
Ca 0.165 0.250 0.749  0.00
Ca 0.665 0.750 0.251  0.00
Ca 0.326 0.843 0.443  0.00
Ca 0.826 0.157 0.557  0.00
Ti 0.131 0.747 0.737  -0.03
Ti 0.631 0.253 0.263  -0.03
Si 0.321 0.398 0.610  0.00
Si 0.821 0.602 0.390  0.00
Si 0.322 0.959 0.608  0.00
Si 0.822 0.041 0.392  0.00
Si 0.003 0.102 0.887  0.00
Si 0.503 0.898 0.113  0.00
Si 0.002 0.544 0.892  -0.01
Si 0.502 0.456 0.108  -0.01
O 0.316 0.189 0.632  0.00
O 0.816 0.811 0.368  0.00
O 0.095 0.411 0.559  0.01
O 0.595 0.589 0.441  0.01
O 0.094 0.897 0.557  0.01
O 0.594 0.103 0.443  0.01
O 0.054 0.598 0.813  0.25
O 0.554 0.402 0.187  0.25
O 0.392 0.770 0.821  0.97
O 0.892 0.230 0.179  0.97
O 0.309 0.909 0.688  0.01
O 0.809 0.091 0.312  0.01
O 0.738 0.601 0.921  0.08
O 0.238 0.399 0.079  0.08
O 0.301 0.523 0.691  0.01
O 0.801 0.477 0.309  0.01
O 0.867 0.717 0.690  0.03
O 0.367 0.283 0.310  0.03
O 0.009 0.313 0.866  0.01
O 0.509 0.687 0.134  0.01
O 0.209 0.602 0.951  0.02
O 0.709 0.398 0.049  0.02
O 0.253 0.924 0.075  0.04
O 0.753 0.076 0.925  0.04
O 0.036 0.980 0.806  0.11
O 0.536 0.020 0.194  0.11
O 0.565 0.902 0.565  0.01
O 0.065 0.098 0.435  0.01
O 0.222 0.096 0.942  0.01
O 0.722 0.904 0.058  0.01
O 0.065 0.584 0.432  0.01
O 0.565 0.416 0.568  0.01
F 0.000 0.724 0.190  0.00
F 0.500 0.276 0.810  0.00
F 0.331 0.778 0.314  0.00
F 0.831 0.222 0.686  0.00

---

Arrangement Q

Here is a relaxed structure of Na2Ca5TiSi4O16F2 from Alexandria. Energies are from GGA-PBEsol.

Computed properties:
**DOS(E_F)**: 12.40 states/eV/f.u.
**Crystal system**: triclinic
**M_tot**: 2.1 Bohr magnetons per cell

abc: 5.695 7.363 9.702
angles: 100.79 101.71 90.22
Each line ends with the local moment (μB).
Atoms (fractional coordinates):
Na 0.563 0.589 0.388  0.00
Na 0.065 0.823 0.387  0.00
Ca 0.849 0.421 0.746  0.00
Ca 0.556 0.090 0.376  0.00
Ca 0.269 0.243 0.017  0.00
Ca 0.261 0.741 0.028  0.00
Ca 0.866 0.922 0.738  0.00
Ti 0.050 0.344 0.400  -0.04
Si 0.326 0.684 0.673  0.00
Si 0.810 0.548 0.110  -0.01
Si 0.812 0.981 0.096  -0.01
Si 0.319 0.117 0.665  0.00
O 0.981 0.469 0.000  0.05
O 0.139 0.196 0.769  0.04
O 0.601 0.165 0.727  0.10
O 0.526 0.001 0.049  0.09
O 0.863 0.776 0.142  0.02
O 0.901 0.122 0.253  0.25
O 0.525 0.499 0.056  0.13
O 0.245 0.164 0.503  0.07
O 0.608 0.674 0.739  0.05
O 0.985 0.996 0.985  0.02
O 0.281 0.280 0.264  0.61
O 0.806 0.347 0.493  0.07
O 0.894 0.505 0.272  0.14
O 0.143 0.661 0.778  0.03
O 0.252 0.547 0.514  0.06
O 0.264 0.889 0.631  0.02
F 0.367 0.814 0.271  0.00
F 0.754 0.879 0.495  0.00

---

Which one sits at the bottom of the stability order? arrangement P does.

---

Arrangement P

Here is a relaxed structure of SrCaF2 from Alexandria. Energies are from GGA-PBEsol.

Computed properties:
**DOS(E_F)**: 4.33 states/eV/f.u.
**Crystal system**: tetragonal
**M_tot**: 2.8 Bohr magnetons per cell

abc: 5.677 5.677 6.953
angles: 114.10 114.10 90.00
Each line ends with the local moment (μB).
Atoms (fractional coordinates):
Sr 0.250 0.750 0.500  0.14
Sr 0.000 0.000 0.000  0.14
Ca 0.750 0.250 0.500  0.12
Ca 0.500 0.500 0.000  0.12
F 0.403 0.875 0.250  0.04
F 0.847 0.375 0.250  0.04
F 0.125 0.153 0.750  0.04
F 0.625 0.597 0.750  0.04

---

Arrangement Q

Here is a relaxed structure of SrCaF2 from Alexandria. Energies are from GGA-PBEsol.

Computed properties:
**DOS(E_F)**: 0.96 states/eV/f.u.
**Crystal system**: trigonal
**M_tot**: 0.0 Bohr magnetons per cell

abc: 4.103 4.103 6.621
angles: 71.95 71.95 60.00
Atoms (fractional coordinates):
Sr 0.500 0.500 0.500
Ca 0.000 0.000 0.000
F 0.878 0.878 0.365
F 0.122 0.122 0.635

---

Which one sits at the bottom of the stability order? arrangement P does.

---

Arrangement P

Here is a relaxed structure of CaTlF3 from Alexandria. Energies are from GGA-PBEsol.

Computed properties:
**DOS(E_F)**: 0.00 states/eV/f.u.
**Crystal system**: cubic
**M_tot**: 0.0 Bohr magnetons per cell

abc: 4.425 4.425 4.425
angles: 90.00 90.00 90.00
Atoms (fractional coordinates):
Tl 0.000 0.000 0.000
Ca 0.500 0.500 0.500
F 0.000 0.500 0.500
F 0.500 0.000 0.500
F 0.500 0.500 0.000

---

Arrangement Q

Here is a relaxed structure of CaTlF3 from Alexandria. Energies are from GGA-PBEsol.

Computed properties:
**DOS(E_F)**: 0.00 states/eV/f.u.
**Crystal system**: trigonal
**M_tot**: 0.0 Bohr magnetons per cell

abc: 6.230 6.230 6.230
angles: 60.29 60.29 60.29
Atoms (fractional coordinates):
Ca 0.992 0.992 0.992
Ca 0.492 0.492 0.492
Tl 0.731 0.731 0.731
Tl 0.231 0.231 0.231
F 0.762 0.186 0.301
F 0.186 0.301 0.762
F 0.301 0.762 0.186
F 0.801 0.686 0.262
F 0.262 0.801 0.686
F 0.686 0.262 0.801

---

Which one sits at the bottom of the stability order? arrangement P does.

---

Arrangement P

Here is a relaxed structure of Ca2MnFe from Alexandria. Energies are from GGA-PBEsol.

Computed properties:
**DOS(E_F)**: 4.44 states/eV/f.u.
**Crystal system**: tetragonal
**M_tot**: 4.2 Bohr magnetons per cell

abc: 3.241 3.241 8.198
angles: 90.00 90.00 89.99
Each line ends with the local moment (μB).
Atoms (fractional coordinates):
Ca 0.000 0.000 0.074  -0.06
Ca 0.500 0.500 0.674  -0.06
Mn 0.500 0.500 0.327  2.50
Fe 0.000 0.000 0.425  1.97

---

Arrangement Q

Here is a relaxed structure of Ca2MnFe from Alexandria. Energies are from GGA-PBEsol.

Computed properties:
**DOS(E_F)**: 3.64 states/eV/f.u.
**Crystal system**: monoclinic
**M_tot**: 4.6 Bohr magnetons per cell

abc: 3.125 5.222 5.674
angles: 109.58 105.98 90.00
Each line ends with the local moment (μB).
Atoms (fractional coordinates):
Ca 0.977 0.954 0.954  -0.06
Ca 0.781 0.309 0.563  -0.04
Mn 0.197 0.730 0.395  2.77
Fe 0.544 0.507 0.089  1.86

---

Arrangement R

Here is a relaxed structure of Ca2MnFe from Alexandria. Energies are from GGA-PBEsol.

Computed properties:
**DOS(E_F)**: 7.46 states/eV/f.u.
**Crystal system**: tetragonal
**M_tot**: 5.9 Bohr magnetons per cell

abc: 3.840 4.763 4.763
angles: 90.00 90.00 90.00
Each line ends with the local moment (μB).
Atoms (fractional coordinates):
Ca 0.000 0.000 0.500  -0.09
Ca 0.000 0.500 0.000  -0.09
Mn 0.500 0.000 0.000  3.61
Fe 0.500 0.500 0.500  2.62

---

Which one sits at the bottom of the stability order? arrangement R does.

---

Arrangement P

Here is a relaxed structure of CaFe2O4 from Alexandria. Energies are from GGA-PBEsol.

Computed properties:
**DOS(E_F)**: 8.65 states/eV/f.u.
**Crystal system**: cubic
**M_tot**: 4.0 Bohr magnetons per cell

abc: 5.955 5.955 5.955
angles: 60.00 60.00 60.00
Each line ends with the local moment (μB).
Atoms (fractional coordinates):
Ca 0.750 0.750 0.750  0.01
Ca 0.500 0.500 0.500  0.01
Fe 0.125 0.625 0.125  0.96
Fe 0.125 0.125 0.625  0.96
Fe 0.625 0.125 0.125  0.96
Fe 0.125 0.125 0.125  0.96
O 0.353 0.353 0.941  0.01
O 0.941 0.353 0.353  0.01
O 0.353 0.353 0.353  0.01
O 0.897 0.309 0.897  0.01
O 0.897 0.897 0.897  0.01
O 0.309 0.897 0.897  0.01
O 0.353 0.941 0.353  0.01
O 0.897 0.897 0.309  0.01

---

Arrangement Q

Here is a relaxed structure of CaFe2O4 from Alexandria. Energies are from GGA-PBEsol.

Computed properties:
**DOS(E_F)**: 2.54 states/eV/f.u.
**Crystal system**: tetragonal
**M_tot**: 6.4 Bohr magnetons per cell

abc: 3.255 5.156 5.156
angles: 90.00 90.00 90.00
Each line ends with the local moment (μB).
Atoms (fractional coordinates):
Ca 0.500 0.500 0.500  0.01
Fe 0.000 0.500 0.000  2.67
Fe 0.000 0.000 0.500  2.67
O 0.000 0.743 0.743  0.20
O 0.000 0.743 0.257  0.20
O 0.000 0.257 0.743  0.20
O 0.000 0.257 0.257  0.20

---

Arrangement R

Here is a relaxed structure of CaFe2O4 from Alexandria. Energies are from GGA-PBEsol.

Computed properties:
**DOS(E_F)**: 5.77 states/eV/f.u.
**Crystal system**: orthorhombic
**M_tot**: 8.0 Bohr magnetons per cell

abc: 4.779 5.744 10.791
angles: 90.00 90.00 90.00
Each line ends with the local moment (μB).
Atoms (fractional coordinates):
Ca 0.341 0.000 0.500  -0.01
Ca 0.659 0.500 0.000  -0.01
Ca 0.035 0.000 0.000  0.00
Ca 0.965 0.500 0.500  0.00
Fe 0.994 0.000 0.256  0.91
Fe 0.994 0.000 0.744  0.91
Fe 0.500 0.250 0.250  1.02
Fe 0.500 0.250 0.750  1.02
Fe 0.006 0.500 0.244  0.91
Fe 0.006 0.500 0.756  0.91
Fe 0.500 0.750 0.750  1.02
Fe 0.500 0.750 0.250  1.02
O 0.342 0.500 0.154  0.03
O 0.342 0.500 0.846  0.03
O 0.658 0.000 0.346  0.03
O 0.658 0.000 0.654  0.03
O 0.665 0.500 0.338  0.02
O 0.665 0.500 0.662  0.02
O 0.335 0.000 0.162  0.02
O 0.335 0.000 0.838  0.02
O 0.159 0.252 0.348  0.01
O 0.159 0.748 0.652  0.01
O 0.841 0.752 0.152  0.01
O 0.841 0.248 0.848  0.01
O 0.841 0.248 0.152  0.01
O 0.841 0.752 0.848  0.01
O 0.159 0.748 0.348  0.01
O 0.159 0.252 0.652  0.01

---

Which one sits at the bottom of the stability order? arrangement Q does.